A plane-wave DFT calculation with PBE was carried out for TbY4Au5 after structural relaxation.

Unit cell a=3.582 b=3.582 c=18.320 alpha=90.00 beta=90.00 gamma=90.00
Space group P4/mmm (No. 123)
Symmetry-distinct sites (fractional):
Tb 0.000 0.000 0.000 (multiplicity 1)
Y 0.000 0.000 0.200 (multiplicity 2)
Y 0.000 0.000 0.400 (multiplicity 2)
Au 0.500 0.500 0.100 (multiplicity 2)
Au 0.500 0.500 0.300 (multiplicity 2)
Au 0.500 0.500 0.500 (multiplicity 1)

Calculated formation energy: -861 meV/atom
Density of states at the Fermi level: 4.13 states/eV/cell
E_tot: -0.2039 Ha/atom

***

A plane-wave DFT calculation with PBE was carried out for YW3Cl after structural relaxation.

Unit cell a=4.538 b=4.538 c=4.538 alpha=90.00 beta=90.00 gamma=90.00
Space group Pm-3m (No. 221)
Symmetry-distinct sites (fractional):
Y 0.000 0.000 0.000 (multiplicity 1)
W 0.000 0.500 0.500 (multiplicity 3)
Cl 0.500 0.500 0.500 (multiplicity 1)

Density of states at the Fermi level: 8.61 states/eV/cell
E_tot: -0.3019 Ha/atom
E_form (uncorrected): 1.219 eV/atom
E above lowest polymorph: 0 meV/atom

***

A plane-wave DFT calculation with PBE was carried out for LaPm6Dy2Ho3 after structural relaxation.

Unit cell a=6.263 b=10.847 c=11.934 alpha=90.00 beta=100.07 gamma=90.00
Space group C2/m (No. 12)
Symmetry-distinct sites (fractional):
La 0.000 0.000 0.000 (multiplicity 2)
Pm 0.248 0.333 0.747 (multiplicity 8)
Pm 0.250 0.000 0.747 (multiplicity 4)
Dy 0.000 0.334 0.000 (multiplicity 4)
Ho 0.000 0.167 0.500 (multiplicity 4)
Ho 0.000 0.500 0.500 (multiplicity 2)

Calculated formation energy: 18 meV/atom
Density of states at the Fermi level: 31.49 states/eV/cell
E_tot: -0.1720 Ha/atom

***

A plane-wave DFT calculation with PBE was carried out for Li5SbP4O14 after structural relaxation.

Unit cell a=7.282 b=8.954 c=10.088 alpha=72.64 beta=71.79 gamma=69.62
Space group P-1 (No. 2)
Symmetry-distinct sites (fractional):
Li 0.028 0.017 0.130 (multiplicity 2)
Li 0.142 0.303 0.214 (multiplicity 2)
Li 0.211 0.274 0.872 (multiplicity 2)
Li 0.216 0.786 0.626 (multiplicity 2)
Li 0.467 0.078 0.376 (multiplicity 2)
Sb 0.381 0.643 0.253 (multiplicity 2)
P 0.080 0.165 0.563 (multiplicity 2)
P 0.189 0.616 0.946 (multiplicity 2)
P 0.345 0.362 0.537 (multiplicity 2)
P 0.404 0.861 0.937 (multiplicity 2)
O 0.035 0.210 0.417 (multiplicity 2)
O 0.055 0.754 0.854 (multiplicity 2)
O 0.079 0.566 0.100 (multiplicity 2)
O 0.104 0.853 0.309 (multiplicity 2)
O 0.133 0.318 0.587 (multiplicity 2)
O 0.209 0.000 0.927 (multiplicity 2)
O 0.264 0.017 0.578 (multiplicity 2)
O 0.294 0.547 0.502 (multiplicity 2)
O 0.305 0.473 0.871 (multiplicity 2)
O 0.362 0.687 0.953 (multiplicity 2)
O 0.416 0.134 0.189 (multiplicity 2)
O 0.429 0.283 0.676 (multiplicity 2)
O 0.457 0.836 0.082 (multiplicity 2)
O 0.477 0.285 0.411 (multiplicity 2)

Density of states at the Fermi level: 0.00 states/eV/cell
E_tot: -0.2407 Ha/atom
E_form (uncorrected): -2.186 eV/atom

***

A plane-wave DFT calculation with PBE was carried out for La3NdSb3 after structural relaxation.

Unit cell a=9.660 b=9.660 c=9.660 alpha=90.00 beta=90.00 gamma=90.00
Space group P2_13 (No. 198)
Symmetry-distinct sites (fractional):
La 0.069 0.431 0.569 (multiplicity 4)
La 0.178 0.822 0.322 (multiplicity 4)
La 0.179 0.179 0.179 (multiplicity 4)
Nd 0.070 0.570 0.930 (multiplicity 4)
Sb 0.001 0.252 0.872 (multiplicity 12)

Density of states at the Fermi level: 33.64 states/eV/cell
E_tot: -0.2087 Ha/atom
E_form (uncorrected): -1.119 eV/atom
E above lowest polymorph: 0 meV/atom

***

A plane-wave DFT calculation with PBE was carried out for AsWSe2 after structural relaxation.

Unit cell a=3.224 b=4.319 c=5.162 alpha=90.00 beta=90.00 gamma=90.00
Space group Pmmm (No. 47)
Symmetry-distinct sites (fractional):
As 0.000 0.000 0.000 (multiplicity 1)
W 0.500 0.000 0.500 (multiplicity 1)
Se 0.000 0.500 0.500 (multiplicity 1)
Se 0.500 0.500 0.000 (multiplicity 1)

Density of states at the Fermi level: 3.85 states/eV/cell
E_tot: -0.1971 Ha/atom
E_form (uncorrected): 0.781 eV/atom

***

A plane-wave DFT calculation with PBE was carried out for Te2PtSeN after structural relaxation.

Unit cell a=5.513 b=5.513 c=3.574 alpha=90.00 beta=90.00 gamma=90.00
Space group P4/mmm (No. 123)
Symmetry-distinct sites (fractional):
Te 0.000 0.500 0.000 (multiplicity 2)
Pt 0.000 0.000 0.500 (multiplicity 1)
Se 0.500 0.500 0.000 (multiplicity 1)
N 0.500 0.500 0.500 (multiplicity 1)

Density of states at the Fermi level: 3.80 states/eV/cell
E_tot: -0.1365 Ha/atom
E_form (uncorrected): 1.111 eV/atom
E above lowest polymorph: 547 meV/atom

***

A plane-wave DFT calculation with PBE was carried out for BeOsSeN2 after structural relaxation.

Unit cell a=3.528 b=3.528 c=4.736 alpha=90.00 beta=90.00 gamma=90.00
Space group P4/mmm (No. 123)
Symmetry-distinct sites (fractional):
Be 0.000 0.000 0.000 (multiplicity 1)
Os 0.500 0.500 0.500 (multiplicity 1)
Se 0.000 0.000 0.500 (multiplicity 1)
N 0.000 0.500 0.000 (multiplicity 2)

Density of states at the Fermi level: 3.31 states/eV/cell
E_tot: -0.1984 Ha/atom
E_form (uncorrected): 1.621 eV/atom
E above lowest polymorph: 883 meV/atom

***

A plane-wave DFT calculation with PBE was carried out for BaLiInAg3 after structural relaxation.

Unit cell a=6.414 b=13.446 c=6.776 alpha=90.00 beta=90.00 gamma=90.00
Space group Cmcm (No. 63)
Symmetry-distinct sites (fractional):
Ba 0.000 0.206 0.250 (multiplicity 4)
Li 0.000 0.435 0.250 (multiplicity 4)
In 0.000 0.136 0.750 (multiplicity 4)
Ag 0.000 0.362 0.750 (multiplicity 4)
Ag 0.230 0.000 0.000 (multiplicity 8)

Calculated formation energy: -169 meV/atom
Density of states at the Fermi level: 10.89 states/eV/cell
E_tot: -0.0989 Ha/atom

***

A plane-wave DFT calculation with PBE was carried out for U4Cu3Sb8 after structural relaxation.

Unit cell a=4.344 b=4.344 c=18.845 alpha=90.00 beta=90.00 gamma=90.00
Space group P-4m2 (No. 115)
Symmetry-distinct sites (fractional):
U 0.000 0.500 0.116 (multiplicity 2)
U 0.000 0.500 0.625 (multiplicity 2)
Cu 0.000 0.000 0.000 (multiplicity 1)
Cu 0.000 0.000 0.500 (multiplicity 1)
Cu 0.500 0.500 0.500 (multiplicity 1)
Sb 0.000 0.000 0.245 (multiplicity 2)
Sb 0.000 0.500 0.415 (multiplicity 2)
Sb 0.000 0.500 0.923 (multiplicity 2)
Sb 0.500 0.500 0.246 (multiplicity 2)

Density of states at the Fermi level: 27.86 states/eV/cell
E_tot: -0.2305 Ha/atom
E_form (uncorrected): -0.243 eV/atom

***

A plane-wave DFT calculation with PBE was carried out for Ti2NbBi after structural relaxation.

Unit cell a=8.837 b=3.465 c=5.247 alpha=90.00 beta=90.00 gamma=90.00
Space group Amm2 (No. 38)
Symmetry-distinct sites (fractional):
Ti 0.229 0.000 0.000 (multiplicity 4)
Nb 0.000 0.000 0.504 (multiplicity 2)
Bi 0.500 0.000 0.364 (multiplicity 2)

Calculated formation energy: 51 meV/atom
Density of states at the Fermi level: 7.45 states/eV/cell
E_tot: -0.2714 Ha/atom

***

A plane-wave DFT calculation with PBE was carried out for Ni3SnAs after structural relaxation.

Unit cell a=4.633 b=4.633 c=4.633 alpha=90.00 beta=90.00 gamma=90.00
Space group Pm-3m (No. 221)
Symmetry-distinct sites (fractional):
Ni 0.000 0.000 0.500 (multiplicity 3)
Sn 0.000 0.000 0.000 (multiplicity 1)
As 0.500 0.500 0.500 (multiplicity 1)

Calculated formation energy: 1004 meV/atom
Density of states at the Fermi level: 2.84 states/eV/cell
E_tot: -0.1542 Ha/atom
E above lowest polymorph: 1134 meV/atom

***

A plane-wave DFT calculation with PBE was carried out for B2H6Ir after structural relaxation.

Unit cell a=5.839 b=5.839 c=5.839 alpha=90.00 beta=90.00 gamma=90.00
Space group Fm-3m (No. 225)
Symmetry-distinct sites (fractional):
B 0.250 0.250 0.250 (multiplicity 8)
H 0.000 0.000 0.199 (multiplicity 24)
Ir 0.000 0.000 0.500 (multiplicity 4)

Density of states at the Fermi level: 5.67 states/eV/cell
E_tot: -0.1387 Ha/atom
E above lowest polymorph: 495 meV/atom

***

A plane-wave DFT calculation with PBE was carried out for In4HgPd2 after structural relaxation.

Unit cell a=4.4412 b=4.4412 c=28.6577 alpha=90.00 beta=90.00 gamma=120.00
Space group R-3m (No. 166, hexagonal axes)
Symmetry-distinct sites (fractional):
In 0.0000 0.0000 0.1061 (multiplicity 6)
In 0.0000 0.0000 0.3025 (multiplicity 6)
Hg 0.0000 0.0000 0.5000 (multiplicity 3)
Pd 0.0000 0.0000 0.4016 (multiplicity 6)

Calculated formation energy: -283 meV/atom
Density of states at the Fermi level: 7.18 states/eV/cell
E_tot: -0.1240 Ha/atom